A) This record from Alexandria via LeMat-Bulk describes a relaxed structure of SiBi2Sb. The functional is PBE.

Summary:
* calculated density: 6498 kg/m3

```
8
Lattice="7.363 0.000 0.000 0.000 7.363 0.000 3.682 3.682 5.353" Properties=species:S:1:pos:R:3 pbc="T T T"
Si 3.682 3.682 0.000
Si 3.682 7.363 2.676
Bi 2.099 5.522 1.338
Bi 9.204 8.946 4.015
Bi 5.522 5.781 4.015
Bi 5.264 1.841 1.338
Sb 7.363 3.682 2.676
Sb 0.000 0.000 0.000
```

---

B) This record from Alexandria via LeMat-Bulk describes a relaxed structure of SiBi2Sb. The functional is PBE.

Summary:
* calculated density: 8632 kg/m3

```
4
Lattice="0.480 -4.266 3.219 -4.175 -1.611 2.960 -2.540 -4.570 -1.206" Properties=species:S:1:pos:R:3 pbc="T T T"
Bi -1.559 -2.612 1.243
Bi -4.676 -7.835 3.730
Sb -3.117 -5.223 2.487
Si 0.000 0.000 0.000
```

---

Relative energies, unit kJ/mol of atoms: A) 0.0; B) 0.9

---

A) This record from Alexandria via LeMat-Bulk describes a relaxed structure of SiBiSb2Te. The functional is PBE.

Summary:
* calculated density: 5139 kg/m3

```
5
Lattice="-5.087 -2.495 -1.043 -0.889 -0.557 5.665 -2.625 5.307 0.110" Properties=species:S:1:pos:R:3 pbc="T T T"
Si -4.300 1.127 2.366
Bi 0.000 0.000 0.000
Te -1.313 2.653 0.055
Sb -2.544 -1.247 -0.522
Sb -0.444 -0.279 2.832
```

---

B) This record from Alexandria via LeMat-Bulk describes a relaxed structure of SiBiSb2Te. The functional is PBE.

Summary:
* calculated density: 6934 kg/m3

```
5
Lattice="-2.103 -4.172 2.461 1.974 -3.188 -3.718 4.375 -0.554 2.799" Properties=species:S:1:pos:R:3 pbc="T T T"
Sb 0.987 -1.594 -1.859
Sb -1.052 -2.086 1.231
Te 2.187 -0.277 1.399
Bi 2.123 -3.957 0.771
Si 0.000 0.000 0.000
```

---

Relative energies, unit kJ/mol of atoms: A) 73.0; B) 0.0